# 1
The following is a DFT calculation (PBE) of crystalline Mg5Ag2Hg2Pd at its relaxed geometry.

Geometry as POSCAR:
```
Mg5Ag2Hg2Pd
1.0
3.220 0.000 0.000
0.000 11.268 0.000
0.000 0.000 11.268
Mg Ag Hg Pd
10 4 4 2
direct
0.500 0.195 0.016
0.500 0.805 0.984
0.500 0.016 0.805
0.500 0.695 0.484
0.500 0.984 0.195
0.500 0.305 0.516
0.500 0.516 0.695
0.500 0.484 0.305
0.500 0.500 0.000
0.500 0.000 0.500
0.000 0.145 0.645
0.000 0.855 0.355
0.000 0.645 0.855
0.000 0.355 0.145
0.000 0.671 0.171
0.000 0.329 0.829
0.000 0.171 0.329
0.000 0.829 0.671
0.000 0.000 0.000
0.000 0.500 0.500
```

## Properties
As for the crystal system: tetragonal. For the energy of formation, the calculation gives -0.25 eV/atom.

=====

# 2
The following is a DFT calculation (PBE) of crystalline K2HfCl4F2 at its relaxed geometry.

Geometry as POSCAR:
```
K2HfCl4F2
1.0
-0.947 -2.287 -5.072
-5.286 -3.900 1.380
-5.957 2.717 -1.478
K Hf Cl F
2 1 4 2
direct
0.179 0.674 0.674
0.821 0.326 0.326
0.500 0.000 0.000
0.304 0.656 0.149
0.696 0.851 0.344
0.696 0.344 0.851
0.304 0.149 0.656
0.223 0.142 0.142
0.777 0.858 0.858
```

## Properties
As for the uncorrected formation energy: -2.4618 eV per atom. As for the crystal system: monoclinic.

=====

# 3
The following is a DFT calculation (PBE) of crystalline AcGdMgAu at its relaxed geometry.

Geometry as POSCAR:
```
AcGdMgAu
1.0
5.465 0.000 0.000
2.732 4.733 0.000
2.732 1.578 4.462
Ac Gd Au Mg
1 1 1 1
direct
0.250 0.250 0.250
0.750 0.750 0.750
0.000 0.000 0.000
0.500 0.500 0.500
```

## Properties
As for the crystal system: cubic. For the energy of formation, the calculation gives -0.34 eV/atom.

=====

# 4
The following is a DFT calculation (PBE) of crystalline Na2Ti2AlO6 at its relaxed geometry.

Geometry as POSCAR:
```
Na2Ti2AlO6
1.0
5.121 -0.013 0.073
-2.543 4.445 0.073
-0.891 -1.531 5.499
Na Ti Al O
2 2 1 6
direct
0.833 0.167 0.000
0.167 0.833 0.000
0.341 0.659 0.500
0.659 0.341 0.500
0.000 0.000 0.500
0.751 0.751 0.694
0.059 0.385 0.684
0.249 0.249 0.306
0.385 0.059 0.684
0.941 0.615 0.316
0.615 0.941 0.316
```

## Properties
As for the uncorrected formation energy: -2.6374 eV per atom. As for the crystal system: monoclinic.

=====

# 5
The following is a DFT calculation (PBE) of crystalline SrAlGa2Cu at its relaxed geometry.

Geometry as POSCAR:
```
SrAlGa2Cu
1.0
-3.772 1.974 -0.385
-1.961 -3.792 -0.230
2.288 0.875 5.810
Sr Al Ga Cu
1 1 2 1
direct
0.000 0.000 0.000
0.250 0.750 0.500
0.619 0.619 0.237
0.381 0.381 0.763
0.750 0.250 0.500
```

## Properties
As for the crystal system: tetragonal. For the energy of formation, the calculation gives -0.35 eV/atom.

=====

# 6
The following is a DFT calculation (PBE) of crystalline RbCoN at its relaxed geometry.

Geometry as POSCAR:
```
RbCoN
1.0
3.264 0.000 0.000
-1.632 2.827 0.000
0.000 0.000 5.341
Co Rb N
1 1 1
direct
0.333 0.667 0.500
0.000 0.000 0.001
0.667 0.333 0.499
```

## Properties
As for the uncorrected formation energy: 0.3537 eV per atom. As for the crystal system: trigonal. Its energy above the lowest structure with this stoichiometry is 0.416 eV/atom.